[1]
8
Lattice="2.377 1.372 10.893 -2.377 1.372 10.893 0.000 -2.745 10.893" Properties=species:S:1:pos:R:3 comment="Ho2Cd5Hg PBE optimized geometry" volume_a3_per_cell=213.2 total_magnetization_mub_per_fu=0.00 dos_ef_per_ev_cell=5.71 e_form_ev_per_atom=-0.073 pbc="T T T"
Ho 0.000 0.000 3.120
Ho 0.000 0.000 29.558
Cd 0.000 0.000 6.427
Cd 0.000 0.000 12.270
Cd 0.000 0.000 16.339
Cd 0.000 0.000 20.408
Cd 0.000 0.000 26.251
Hg 0.000 0.000 0.000

[2]
4
Lattice="0.000 3.735 3.735 3.735 0.000 3.735 3.735 3.735 0.000" Properties=species:S:1:pos:R:3 comment="SrSmZnGe PBE optimized geometry" volume_a3_per_cell=104.2 total_magnetization_mub_per_fu=0.00 dos_ef_per_ev_cell=3.59 e_form_ev_per_atom=-0.385 pbc="T T T"
Sr 0.000 0.000 0.000
Sm 3.735 3.735 3.735
Zn 1.868 1.868 1.868
Ge 5.603 5.603 5.603

[3]
12
Lattice="7.502 -3.493 0.000 7.502 3.493 0.000 0.000 0.000 8.105" Properties=species:S:1:pos:R:3 comment="CaCe2Sb3 PBE optimized geometry" volume_a3_per_cell=424.7 total_magnetization_mub_per_fu=1.18 dos_ef_per_ev_cell=22.46 dft_energy_ev_per_cell=-61.65 pbc="T T T"
Ca 7.502 2.796 6.079
Ca 7.502 -2.796 2.026
Ce 5.146 0.000 0.000
Ce 5.146 0.000 4.053
Ce 9.858 0.000 0.000
Ce 9.858 0.000 4.053
Sb 3.069 1.238 2.026
Sb 7.502 0.921 2.026
Sb 3.069 -1.238 6.079
Sb 11.935 1.238 2.026
Sb 7.502 -0.921 6.079
Sb 11.935 -1.238 6.079

[4]
8
Lattice="-3.196 3.196 4.998 3.196 -3.196 4.998 3.196 3.196 -4.998" Properties=species:S:1:pos:R:3 comment="Pb2AuC PBE optimized geometry" volume_a3_per_cell=204.3 total_magnetization_mub_per_fu=0.00 dos_ef_per_ev_cell=2.25 e_form_ev_per_atom=0.871 pbc="T T T"
Pb 4.795 1.192 -1.250
Pb 1.192 1.598 1.250
Pb -1.598 2.004 3.749
Pb 2.004 1.598 6.248
Au 3.196 0.000 2.499
Au 0.000 0.000 4.998
C 0.000 0.000 0.000
C 0.000 3.196 2.499